(1)
Entry from the Alexandria database: a relaxed structure of CsUBi2S5 (PBE).

Cell: 8.1136 8.1136 8.1136 Å, 141.93 124.22 69.53°
Last column: nearest neighbours and their distance in Å.
Fractional positions:
Cs: 0.0000 0.0000 0.0000  10 S 3.80
U: 0.5000 0.5000 0.0000  6 S 2.65-2.66
Bi: 0.2770 0.7770 0.5000  2 S 2.64
Bi: 0.7230 0.2230 0.5000  2 S 2.64
S: 0.1129 0.3566 0.7563  1 Bi 2.64, 1 U 2.66
S: 0.3998 0.6434 0.7563  1 Bi 2.64, 1 U 2.66
S: 0.5000 0.0000 0.5000  2 U 2.65
S: 0.6002 0.3566 0.2437  1 Bi 2.64, 1 U 2.66
S: 0.8871 0.6434 0.2437  1 Bi 2.64, 1 U 2.66

Results
- space-group type = Immm (71)

(2)
Entry from the Alexandria database: a relaxed structure of Ta2NiHg2Te6 (PBE).

Cell: 6.5322 6.5322 10.1969 Å, 98.64 98.64 120.21°
Last column: nearest neighbours and their distance in Å.
Fractional positions:
Ta: 0.1659 0.8341 0.0000  6 Te 2.80
Ta: 0.8341 0.1659 0.0000  6 Te 2.80
Ni: 0.5000 0.5000 0.0000  6 Te 2.66-2.67
Hg: 0.2925 0.7075 0.5000  2 Hg 3.40, 2 Te 3.59
Hg: 0.7075 0.2925 0.5000  2 Hg 3.40, 2 Te 3.59
Te: 0.1023 0.4192 0.8266  1 Ni 2.67, 2 Ta 2.80
Te: 0.2666 0.2666 0.1737  1 Ni 2.66, 2 Ta 2.80
Te: 0.4192 0.1023 0.8266  1 Ni 2.67, 2 Ta 2.80
Te: 0.5808 0.8977 0.1734  1 Ni 2.67, 2 Ta 2.80
Te: 0.7334 0.7334 0.8263  1 Ni 2.66, 2 Ta 2.80
Te: 0.8977 0.5808 0.1734  1 Ni 2.67, 2 Ta 2.80

Results
- space-group type = C2/m (12)

(3)
Entry from the Alexandria database: a relaxed structure of Ac2Er2Sn (PBE).

Cell: 10.2923 10.2923 10.2923 Å, 155.36 155.36 35.12°
Last column: nearest neighbours and their distance in Å.
Fractional positions:
Ac: 0.0884 0.0884 0.0000  1 Ac 3.47, 4 Sn 3.56, 4 Er 3.86
Ac: 0.9116 0.9116 0.0000  1 Ac 3.47, 4 Sn 3.56, 4 Er 3.86
Er: 0.2500 0.7500 0.5000  4 Er 3.11
Er: 0.7500 0.2500 0.5000  4 Er 3.11
Sn: 0.5000 0.5000 0.0000  8 Ac 3.56

Results
- space-group type = I4/mmm (139)
- formation energy from the elements (eV/atom) = 0.105

(4)
Entry from the Alexandria database: a relaxed structure of RbNF3 (PBE).

Cell: 4.0277 4.0277 4.0277 Å, 90.00 90.00 90.00°
Last column: nearest neighbours and their distance in Å.
Fractional positions:
Rb: 0.0000 0.0000 0.0000  12 F 2.85
N: 0.5000 0.5000 0.5000  6 F 2.01
F: 0.0000 0.5000 0.5000  2 N 2.01
F: 0.5000 0.0000 0.5000  2 N 2.01
F: 0.5000 0.5000 0.0000  2 N 2.01

Results
- space-group type = Pm-3m (221)
- energy above the most stable polymorph in this dataset (meV/atom) = 348

(5)
Entry from the Alexandria database: a relaxed structure of Ce5In2Ga2 (PBE).

Cell: 8.9851 8.9851 7.9564 Å, 90.00 90.00 52.05°
Last column: nearest neighbours and their distance in Å.
Fractional positions:
Ce: 0.0000 0.0000 0.0000  4 Ga 3.19-3.20, 4 Ce 3.50
Ce: 0.0668 0.6765 0.6852  3 Ga 3.03-3.23, 3 In 3.20-3.32
Ce: 0.1765 0.5668 0.1852  3 Ga 3.03-3.23, 3 In 3.20-3.32
Ce: 0.3235 0.9332 0.6852  3 Ga 3.03-3.23, 3 In 3.20-3.32
Ce: 0.4332 0.8235 0.1852  3 Ga 3.03-3.23, 3 In 3.20-3.32
Ce: 0.5000 0.5000 0.5000  4 Ga 3.19-3.20, 4 Ce 3.50
Ce: 0.5668 0.1765 0.8148  3 Ga 3.03-3.23, 3 In 3.20-3.32
Ce: 0.6765 0.0668 0.3148  3 Ga 3.03-3.23, 3 In 3.20-3.32
Ce: 0.8235 0.4332 0.8148  3 Ga 3.03-3.23, 3 In 3.20-3.32
Ce: 0.9332 0.3235 0.3148  3 Ga 3.03-3.23, 3 In 3.20-3.32
In: 0.2239 0.2239 0.0000  6 Ce 3.20-3.32
In: 0.2761 0.2761 0.5000  6 Ce 3.20-3.32
In: 0.7239 0.7239 0.5000  6 Ce 3.20-3.32
In: 0.7761 0.7761 0.0000  6 Ce 3.20-3.32
Ga: 0.1106 0.8894 0.3850  1 Ga 2.53
Ga: 0.3894 0.6106 0.8850  1 Ga 2.53
Ga: 0.6106 0.3894 0.1150  1 Ga 2.53
Ga: 0.8894 0.1106 0.6150  1 Ga 2.53

Results
- space-group type = Cmce (64)
- formation energy from the elements (eV/atom) = -0.288

(6)
Entry from the Alexandria database: a relaxed structure of LiTmGa2 (PBE).

Cell: 4.6420 4.6420 3.6343 Å, 90.00 90.00 90.00°
Last column: nearest neighbours and their distance in Å.
Fractional positions:
Li: 0.0000 0.0000 0.0000  8 Ga 2.95, 4 Tm 3.28
Tm: 0.5000 0.5000 0.0000  8 Ga 2.95, 4 Li 3.28
Ga: 0.0000 0.5000 0.5000  4 Li 2.95, 4 Tm 2.95, 4 Ga 3.28
Ga: 0.5000 0.0000 0.5000  4 Li 2.95, 4 Tm 2.95, 4 Ga 3.28

Results
- space-group type = P4/mmm (123)
- formation energy from the elements (eV/atom) = -0.447
- energy above the most stable polymorph in this dataset (meV/atom) = 40

(7)
Entry from the Alexandria database: a relaxed structure of Tm2ZnTe4 (PBE).

Cell: 7.8238 7.8238 7.8238 Å, 129.46 129.46 74.28°
Last column: nearest neighbours and their distance in Å.
Fractional positions:
Tm: 0.2500 0.7500 0.5000  4 Te 2.93
Tm: 0.7500 0.2500 0.5000  4 Te 2.93
Zn: 0.0000 0.0000 0.0000  4 Te 2.70
Te: 0.1342 0.6432 0.0000  1 Zn 2.70, 2 Tm 2.93
Te: 0.3568 0.3568 0.4910  1 Zn 2.70, 2 Tm 2.93
Te: 0.6432 0.1342 0.0000  1 Zn 2.70, 2 Tm 2.93
Te: 0.8658 0.8658 0.5090  1 Zn 2.70, 2 Tm 2.93

Results
- space-group type = I-42m (121)

(8)
Entry from the Alexandria database: a relaxed structure of SrRe2Au (PBE).

Cell: 6.1912 6.1912 6.1912 Å, 153.24 133.71 54.28°
Last column: nearest neighbours and their distance in Å.
Fractional positions:
Sr: 0.0000 0.0000 0.0000  4 Au 2.82, 2 Sr 2.87
Re: 0.2766 0.7766 0.5000  2 Au 2.85, 6 Re 2.87-2.88
Re: 0.7234 0.2234 0.5000  2 Au 2.85, 6 Re 2.87-2.88
Au: 0.5000 0.5000 0.0000  4 Sr 2.82, 4 Re 2.85, 2 Au 2.87

Results
- space-group type = Immm (71)
- formation energy from the elements (eV/atom) = 0.718
- energy above the most stable polymorph in this dataset (meV/atom) = 422

(9)
Entry from the Alexandria database: a relaxed structure of BC3 (PBE).

Cell: 2.6138 2.6138 14.0383 Å, 90.00 90.00 120.00°
Last column: nearest neighbours and their distance in Å.
Fractional positions:
B: 0.0000 0.0000 0.0000  3 C 1.52
B: 0.0000 0.0000 0.2501  3 C 1.52
B: 0.3333 0.6667 0.8268  4 C 1.61-1.66
C: 0.0000 0.0000 0.5654  4 C 1.55-1.59
C: 0.0000 0.0000 0.6757  4 C 1.55-1.59
C: 0.3333 0.6667 0.2651  3 B 1.52, 1 C 1.64
C: 0.3333 0.6667 0.3823  4 C 1.59-1.64
C: 0.3333 0.6667 0.7123  3 C 1.59, 1 B 1.61
C: 0.6667 0.3333 0.4185  4 C 1.55-1.59
C: 0.6667 0.3333 0.5289  4 C 1.55-1.59
C: 0.6667 0.3333 0.8753  1 C 1.56, 3 B 1.66
C: 0.6667 0.3333 0.9862  3 B 1.52, 1 C 1.56

Results
- space-group type = P3m1 (156)
- formation energy from the elements (eV/atom) = 0.299
- energy above the most stable polymorph in this dataset (meV/atom) = 58

(10)
Entry from the Alexandria database: a relaxed structure of Sm7Er12Tm (PBE).

Cell: 9.6958 9.6958 9.6958 Å, 109.47 109.47 109.47°
Last column: nearest neighbours and their distance in Å.
Fractional positions:
Sm: 0.0000 0.0000 0.5000  6 Er 2.80
Sm: 0.0000 0.5000 0.0000  6 Er 2.80
Sm: 0.0000 0.5000 0.5000  12 Er 3.96-4.02
Sm: 0.5000 0.0000 0.0000  6 Er 2.80
Sm: 0.5000 0.0000 0.5000  12 Er 3.96-4.02
Sm: 0.5000 0.5000 0.0000  12 Er 3.96-4.02
Sm: 0.5000 0.5000 0.5000  6 Er 2.80
Er: 0.0000 0.2458 0.7542  2 Sm 2.80
Er: 0.0000 0.7542 0.2458  2 Sm 2.80
Er: 0.2458 0.0000 0.7542  2 Sm 2.80
Er: 0.2458 0.2458 0.4917  2 Sm 2.80
Er: 0.2458 0.4917 0.2458  2 Sm 2.80
Er: 0.2458 0.7542 0.0000  2 Sm 2.80
Er: 0.4917 0.2458 0.2458  2 Sm 2.80
Er: 0.5083 0.7542 0.7542  2 Sm 2.80
Er: 0.7542 0.0000 0.2458  2 Sm 2.80
Er: 0.7542 0.2458 0.0000  2 Sm 2.80
Er: 0.7542 0.5083 0.7542  2 Sm 2.80
Er: 0.7542 0.7542 0.5083  2 Sm 2.80
Tm: 0.0000 0.0000 0.0000  12 Er 3.89

Results
- space-group type = Im-3m (229)
- formation energy from the elements (eV/atom) = 0.684
- energy above the most stable polymorph in this dataset (meV/atom) = 448

(11)
Entry from the Alexandria database: a relaxed structure of Sm2ZnSi3Ni12 (PBE).

Cell: 6.2960 6.2960 6.2960 Å, 84.52 84.52 84.52°
Last column: nearest neighbours and their distance in Å.
Fractional positions:
Sm: 0.1518 0.1518 0.1518  9 Ni 2.54-2.78
Sm: 0.8482 0.8482 0.8482  9 Ni 2.54-2.78
Zn: 0.5000 0.5000 0.5000  6 Ni 2.37
Si: 0.0000 0.5000 0.5000  6 Ni 2.28-2.49
Si: 0.5000 0.0000 0.5000  6 Ni 2.28-2.49
Si: 0.5000 0.5000 0.0000  6 Ni 2.28-2.49
Ni: 0.1168 0.1168 0.5974  2 Ni 2.36-2.63, 2 Si 2.49
Ni: 0.1168 0.5974 0.1168  2 Ni 2.36-2.63, 2 Si 2.49
Ni: 0.2045 0.6851 0.6851  1 Si 2.28, 3 Ni 2.36-2.42, 1 Zn 2.37, 1 Sm 2.54
Ni: 0.3149 0.3149 0.7955  1 Si 2.28, 3 Ni 2.36-2.42, 1 Zn 2.37, 1 Sm 2.54
Ni: 0.3149 0.7955 0.3149  1 Si 2.28, 3 Ni 2.36-2.42, 1 Zn 2.37, 1 Sm 2.54
Ni: 0.4026 0.8832 0.8832  2 Ni 2.36-2.63, 2 Si 2.49
Ni: 0.5974 0.1168 0.1168  2 Ni 2.36-2.63, 2 Si 2.49
Ni: 0.6851 0.2045 0.6851  1 Si 2.28, 3 Ni 2.36-2.42, 1 Zn 2.37, 1 Sm 2.54
Ni: 0.6851 0.6851 0.2045  1 Si 2.28, 3 Ni 2.36-2.42, 1 Zn 2.37, 1 Sm 2.54
Ni: 0.7955 0.3149 0.3149  1 Si 2.28, 3 Ni 2.36-2.42, 1 Zn 2.37, 1 Sm 2.54
Ni: 0.8832 0.4026 0.8832  2 Ni 2.36-2.63, 2 Si 2.49
Ni: 0.8832 0.8832 0.4026  2 Ni 2.36-2.63, 2 Si 2.49

Results
- space-group type = R-3m (166)

(12)
Entry from the Alexandria database: a relaxed structure of RbInPb (PBE).

Cell: 4.0852 4.7927 6.6407 Å, 90.00 90.00 90.00°
Last column: nearest neighbours and their distance in Å.
Fractional positions:
Rb: 0.0000 0.0000 0.0000  4 Pb 3.90, 2 Rb 4.09, 4 In 4.09
In: 0.0000 0.5000 0.5000  4 Pb 3.15
Pb: 0.5000 0.0000 0.5000  4 In 3.15

Results
- space-group type = Pmmm (47)
- formation energy from the elements (eV/atom) = 0.001

(13)
Entry from the Alexandria database: a relaxed structure of Ti4Mn3Se12 (PBE).

Cell: 8.2783 8.2783 8.2783 Å, 109.47 109.47 109.47°
Last column: nearest neighbours and their distance in Å.
Fractional positions:
Ti: 0.0000 0.0000 0.5000  6 Se 2.55
Ti: 0.0000 0.5000 0.0000  6 Se 2.55
Ti: 0.5000 0.0000 0.0000  6 Se 2.55
Ti: 0.5000 0.5000 0.5000  6 Se 2.55
Mn: 0.0000 0.5000 0.5000  4 Se 2.48
Mn: 0.5000 0.0000 0.5000  4 Se 2.48
Mn: 0.5000 0.5000 0.0000  4 Se 2.48
Se: 0.1332 0.8215 0.3117  1 Mn 2.48, 2 Ti 2.55
Se: 0.1785 0.3117 0.4902  1 Mn 2.48, 2 Ti 2.55
Se: 0.1785 0.6883 0.8668  1 Mn 2.48, 2 Ti 2.55
Se: 0.3117 0.1332 0.8215  1 Mn 2.48, 2 Ti 2.55
Se: 0.3117 0.4902 0.1785  1 Mn 2.48, 2 Ti 2.55
Se: 0.4902 0.1785 0.3117  1 Mn 2.48, 2 Ti 2.55
Se: 0.5098 0.8215 0.6883  1 Mn 2.48, 2 Ti 2.55
Se: 0.6883 0.5098 0.8215  1 Mn 2.48, 2 Ti 2.55
Se: 0.6883 0.8668 0.1785  1 Mn 2.48, 2 Ti 2.55
Se: 0.8215 0.3117 0.1332  1 Mn 2.48, 2 Ti 2.55
Se: 0.8215 0.6883 0.5098  1 Mn 2.48, 2 Ti 2.55
Se: 0.8668 0.1785 0.6883  1 Mn 2.48, 2 Ti 2.55

Results
- space-group type = Im-3 (204)

(14)
Entry from the Alexandria database: a relaxed structure of Hf3ZnP (PBE).

Cell: 3.4536 7.9263 7.9263 Å, 71.13 90.00 90.00°
Last column: nearest neighbours and their distance in Å.
Fractional positions:
Hf: 0.0000 0.0000 0.0000  2 P 2.47
Hf: 0.0000 0.3637 0.3637  2 P 2.47
Hf: 0.5000 0.3800 0.7425  2 P 2.49
Hf: 0.5000 0.6203 0.9823  2 P 2.49
Hf: 0.5000 0.7425 0.3800  2 P 2.49
Hf: 0.5000 0.9823 0.6203  2 P 2.49
Zn: 0.0000 0.6812 0.6812  8 Hf 2.86
Zn: 0.5000 0.1817 0.1817  4 Hf 2.91
P: 0.0000 0.1811 0.6815  6 Hf 2.47-2.49
P: 0.0000 0.6815 0.1811  6 Hf 2.47-2.49

Results
- space-group type = Amm2 (38)
- formation energy from the elements (eV/atom) = -0.387
- energy above the most stable polymorph in this dataset (meV/atom) = 0

(15)
Entry from the Alexandria database: a relaxed structure of Ac3Pa3TaN8 (PBE).

Cell: 7.3499 7.3499 7.3499 Å, 57.12 57.12 57.12°
Last column: nearest neighbours and their distance in Å.
Fractional positions:
Ac: 0.0000 0.5000 0.5000  6 N 2.77-2.78
Ac: 0.5000 0.0000 0.5000  6 N 2.77-2.78
Ac: 0.5000 0.5000 0.0000  6 N 2.77-2.78
Pa: 0.0000 0.0000 0.5000  6 N 2.34-2.37
Pa: 0.0000 0.5000 0.0000  6 N 2.34-2.37
Pa: 0.5000 0.0000 0.0000  6 N 2.34-2.37
Ta: 0.5000 0.5000 0.5000  6 N 2.19
N: 0.2301 0.2301 0.2301  3 Pa 2.34
N: 0.2491 0.7156 0.7156  1 Ta 2.19, 2 Pa 2.37
N: 0.2844 0.2844 0.7509  1 Ta 2.19, 2 Pa 2.37
N: 0.2844 0.7509 0.2844  1 Ta 2.19, 2 Pa 2.37
N: 0.7156 0.2491 0.7156  1 Ta 2.19, 2 Pa 2.37
N: 0.7156 0.7156 0.2491  1 Ta 2.19, 2 Pa 2.37
N: 0.7509 0.2844 0.2844  1 Ta 2.19, 2 Pa 2.37
N: 0.7699 0.7699 0.7699  3 Pa 2.34

Results
- space-group type = R-3m (166)

(16)
Entry from the Alexandria database: a relaxed structure of CuPtS (PBE).

Cell: 4.1156 4.1156 5.2563 Å, 127.63 127.63 49.60°
Last column: nearest neighbours and their distance in Å.
Fractional positions:
Cu: 0.0000 0.0000 0.0000  1 S 2.27
Pt: 0.8641 0.8641 0.3725  3 S 2.34-2.37
S: 0.6134 0.6134 0.7735  1 Cu 2.27, 3 Pt 2.34-2.37

Results
- space-group type = Cm (8)
- energy above the most stable polymorph in this dataset (meV/atom) = 193

(17)
Entry from the Alexandria database: a relaxed structure of Zr2CrOs (PBE).

Cell: 8.6914 8.6914 8.6914 Å, 20.73 20.73 20.73°
Last column: nearest neighbours and their distance in Å.
Fractional positions:
Zr: 0.2502 0.2502 0.2502  3 Cr 2.78, 3 Os 2.79
Zr: 0.7498 0.7498 0.7498  3 Cr 2.78, 3 Os 2.79
Cr: 0.0000 0.0000 0.0000  6 Zr 2.78
Os: 0.5000 0.5000 0.5000  6 Zr 2.79, 6 Os 3.13

Results
- space-group type = R-3m (166)
- formation energy from the elements (eV/atom) = 0.274

(18)
Entry from the Alexandria database: a relaxed structure of Ru2RhW (PBE).

Cell: 4.7312 4.7312 4.7312 Å, 131.69 131.69 70.72°
Last column: nearest neighbours and their distance in Å.
Fractional positions:
Ru: 0.0000 0.0000 0.0000  4 W 2.73, 4 Ru 2.73, 4 Rh 2.74
Ru: 0.7500 0.2500 0.5000  4 Rh 2.73, 4 Ru 2.73, 4 W 2.74
Rh: 0.5000 0.5000 0.0000  4 W 2.73, 8 Ru 2.73-2.74
W: 0.2500 0.7500 0.5000  4 Rh 2.73, 8 Ru 2.73-2.74

Results
- space-group type = I-4m2 (119)
- formation energy from the elements (eV/atom) = -0.073
- energy above the most stable polymorph in this dataset (meV/atom) = 44

(19)
Entry from the Alexandria database: a relaxed structure of Li2Tl2SbS4 (PBE).

Cell: 7.6238 7.6238 7.4793 Å, 110.66 110.66 29.96°
Last column: nearest neighbours and their distance in Å.
Fractional positions:
Li: 0.1818 0.1818 0.4854  4 S 2.40-2.53
Li: 0.8182 0.8182 0.5146  4 S 2.40-2.53
Tl: 0.3608 0.3608 0.9458  7 S 3.21-3.44, 1 Li 3.49
Tl: 0.6392 0.6392 0.0542  7 S 3.21-3.44, 1 Li 3.49
Sb: 0.5000 0.5000 0.5000  6 S 2.68-2.71
S: 0.0143 0.0143 0.2635  1 Li 2.42, 2 Sb 2.71
S: 0.3054 0.3054 0.3226  3 Li 2.40-2.53, 1 Sb 2.68
S: 0.6946 0.6946 0.6774  3 Li 2.40-2.53, 1 Sb 2.68
S: 0.9857 0.9857 0.7365  1 Li 2.42, 2 Sb 2.71

Results
- space-group type = C2/m (12)

(20)
Entry from the Alexandria database: a relaxed structure of La2ReW (PBE).

Cell: 6.0906 6.0906 2.8422 Å, 90.00 90.00 124.32°
Last column: nearest neighbours and their distance in Å.
Fractional positions:
La: 0.0000 0.5000 0.0000  4 La 2.84
La: 0.5000 0.0000 0.0000  4 La 2.84
Re: 0.0000 0.0000 0.5000  2 Re 2.84, 2 W 2.84
W: 0.5000 0.5000 0.5000  2 W 2.84, 2 Re 2.84

Results
- space-group type = Cmmm (65)
- formation energy from the elements (eV/atom) = 0.864
- energy above the most stable polymorph in this dataset (meV/atom) = 665

Number 1: E -5.218 eV per atom. Number 2: E -4.595 eV per atom. Number 3: E -4.164 eV per atom. Number 4: E -3.546 eV per atom. Number 5: E -4.866 eV per atom. Number 6: E -3.557 eV per atom. Number 7: E -4.103 eV per atom. Number 8: E -6.746 eV per atom. Number 9: E -8.289 eV per atom. Number 10: E -3.929 eV per atom. Number 11: E -5.493 eV per atom. Number 12: E -2.471 eV per atom. Number 13: E -6.012 eV per atom. Number 14: E -7.696 eV per atom. Number 15: E -9.273 eV per atom. Number 16: E -4.744 eV per atom. Number 17: E -9.214 eV per atom. Number 18: E -9.787 eV per atom. Number 19: E -3.847 eV per atom. Number 20: E -7.950 eV per atom.